CeTaTiGe2 | GGA-PBE | relaxed

```
5
Lattice="4.065 0.000 0.000 0.000 4.065 0.000 -2.032 -2.032 6.004" Properties=species:S:1:pos:R:3 pbc="T T T"
Ta 0.000 2.032 3.002
Ge 0.000 0.000 4.732
Ge 2.032 2.032 1.272
Ti 2.032 0.000 3.002
Ce 0.000 0.000 0.000
```

Computed properties:
* total energy: -7.55 eV per atom
* SG: No. 119
* total magnetization: 0.4 μB per formula unit
* calculated density: 8.61 g cm⁻³
* ΔE_f: -571 meV/atom